# 1
Compound: FeMoP
Source: the Alexandria database
Functional: SCAN
Structure: single point on PBEsol structure

## Properties
Formation energy: -0.49 eV per atom

```
data_FeMoP
_chemical_formula_sum 'Fe4 Mo4 P4'
_symmetry_space_group_name_H-M 'P n m a'
_symmetry_Int_Tables_number 62
_symmetry_space_group_name_Hall '-P 2ac 2n'
_cell_length_a 5.834
_cell_length_b 3.633
_cell_length_c 6.652
_cell_angle_alpha 90.00
_cell_angle_beta 90.00
_cell_angle_gamma 90.00
loop_
_atom_site_label
_atom_site_type_symbol
_atom_site_fract_x
_atom_site_fract_y
_atom_site_fract_z
Fe1 Fe 0.140 0.250 0.062
Mo1 Mo 0.027 0.250 0.673
P1 P 0.230 0.750 0.879
```


# 2
Compound: FeCo3
Source: the Alexandria database
Functional: SCAN
Structure: single point on PBEsol structure

## Properties
Formation energy: -0.10 eV per atom

```
data_FeCo3
_chemical_formula_sum 'Fe4 Co12'
_symmetry_space_group_name_H-M 'C 1 2/m 1'
_symmetry_Int_Tables_number 12
_symmetry_space_group_name_Hall '-C 2y'
_cell_length_a 8.799
_cell_length_b 2.775
_cell_length_c 7.865
_cell_angle_alpha 90.00
_cell_angle_beta 116.74
_cell_angle_gamma 90.00
loop_
_atom_site_label
_atom_site_type_symbol
_atom_site_fract_x
_atom_site_fract_y
_atom_site_fract_z
Fe1 Fe 0.126 0.000 0.187
Co1 Co 0.122 0.500 0.937
Co2 Co 0.124 0.500 0.432
Co3 Co 0.128 0.000 0.686
```


# 3
Compound: Li4PtPb
Source: the Alexandria database
Functional: SCAN
Structure: single point on PBEsol structure

## Properties
Formation energy: -0.30 eV per atom

```
data_Li4PtPb
_chemical_formula_sum 'Li16 Pt4 Pb4'
_symmetry_space_group_name_H-M 'F -4 3 m'
_symmetry_Int_Tables_number 216
_symmetry_space_group_name_Hall 'F -4 2 3'
_cell_length_a 7.030
_cell_length_b 7.030
_cell_length_c 7.030
_cell_angle_alpha 90.00
_cell_angle_beta 90.00
_cell_angle_gamma 90.00
loop_
_atom_site_label
_atom_site_type_symbol
_atom_site_fract_x
_atom_site_fract_y
_atom_site_fract_z
Li1 Li 0.123 0.123 0.123
Pt1 Pt 0.250 0.250 0.750
Pb1 Pb 0.000 0.000 0.500
```


# 4
Compound: Cr2NiRh
Source: the Alexandria database
Functional: SCAN
Structure: single point on PBEsol structure

## Properties
Formation energy: 0.02 eV per atom

```
data_Cr2NiRh
_chemical_formula_sum 'Cr2 Ni1 Rh1'
_symmetry_space_group_name_H-M 'P m m m'
_symmetry_Int_Tables_number 47
_symmetry_space_group_name_Hall '-P 2 2'
_cell_length_a 2.545
_cell_length_b 3.641
_cell_length_c 4.996
_cell_angle_alpha 90.00
_cell_angle_beta 90.00
_cell_angle_gamma 90.00
loop_
_atom_site_label
_atom_site_type_symbol
_atom_site_fract_x
_atom_site_fract_y
_atom_site_fract_z
Cr1 Cr 0.000 0.000 0.236
Ni1 Ni 0.500 0.500 0.000
Rh1 Rh 0.500 0.500 0.500
```


# 5
Compound: LiFeAg4
Source: the Alexandria database
Functional: SCAN
Structure: single point on PBEsol structure

## Properties
Formation energy: 0.29 eV per atom

```
data_LiFeAg4
_chemical_formula_sum 'Li4 Fe4 Ag16'
_symmetry_space_group_name_H-M 'F -4 3 m'
_symmetry_Int_Tables_number 216
_symmetry_space_group_name_Hall 'F -4 2 3'
_cell_length_a 7.520
_cell_length_b 7.520
_cell_length_c 7.520
_cell_angle_alpha 90.00
_cell_angle_beta 90.00
_cell_angle_gamma 90.00
loop_
_atom_site_label
_atom_site_type_symbol
_atom_site_fract_x
_atom_site_fract_y
_atom_site_fract_z
Li1 Li 0.000 0.000 0.000
Fe1 Fe 0.250 0.250 0.250
Ag1 Ag 0.125 0.125 0.625
```


# 6
Compound: Zn2Hg
Source: the Alexandria database
Functional: SCAN
Structure: single point on PBEsol structure

## Properties
Formation energy: 0.06 eV per atom

```
data_Zn2Hg
_chemical_formula_sum 'Zn8 Hg4'
_symmetry_space_group_name_H-M 'I 4/m c m'
_symmetry_Int_Tables_number 140
_symmetry_space_group_name_Hall '-I 4 2c'
_cell_length_a 4.933
_cell_length_b 4.933
_cell_length_c 8.852
_cell_angle_alpha 90.00
_cell_angle_beta 90.00
_cell_angle_gamma 90.00
loop_
_atom_site_label
_atom_site_type_symbol
_atom_site_fract_x
_atom_site_fract_y
_atom_site_fract_z
Zn1 Zn 0.179 0.321 0.000
Hg1 Hg 0.000 0.000 0.250
```


# 7
Compound: BSeS3
Source: the Alexandria database
Functional: SCAN
Structure: single point on PBEsol structure

## Properties
Offset from the most stable computed form: 650 meV per atom
ΔE_f (raw): 7.79 eV/f.u.

```
data_BSeS3
_chemical_formula_sum 'B1 Se1 S3'
_symmetry_space_group_name_H-M 'P m -3 m'
_symmetry_Int_Tables_number 221
_symmetry_space_group_name_Hall '-P 4 2 3'
_cell_length_a 4.710
_cell_length_b 4.710
_cell_length_c 4.710
_cell_angle_alpha 90.00
_cell_angle_beta 90.00
_cell_angle_gamma 90.00
loop_
_atom_site_label
_atom_site_type_symbol
_atom_site_fract_x
_atom_site_fract_y
_atom_site_fract_z
B1 B 0.000 0.000 0.000
Se1 Se 0.500 0.500 0.500
S1 S 0.000 0.500 0.500
```


# 8
Compound: Ba2SrP2O8
Source: the Alexandria database
Functional: SCAN
Structure: single point on PBEsol structure

## Properties
ΔE_f (raw): -41.37 eV/f.u.

```
data_Ba2SrP2O8
_chemical_formula_sum 'Ba6 Sr3 P6 O24'
_symmetry_space_group_name_H-M 'R -3 m'
_symmetry_Int_Tables_number 166
_symmetry_space_group_name_Hall '-R 3 2"'
_cell_length_a 5.5273
_cell_length_b 5.5273
_cell_length_c 20.7252
_cell_angle_alpha 90.00
_cell_angle_beta 90.00
_cell_angle_gamma 120.00
loop_
_atom_site_label
_atom_site_type_symbol
_atom_site_fract_x
_atom_site_fract_y
_atom_site_fract_z
Ba1 Ba 0.0000 0.0000 0.2069
Sr1 Sr 0.0000 0.0000 0.0000
P1 P 0.0000 0.0000 0.4038
O1 O 0.0000 0.0000 0.3298
O2 O 0.0263 0.5131 0.2374
```


# 9
Compound: Fe2CoPt
Source: the Alexandria database
Functional: SCAN
Structure: single point on PBEsol structure

## Properties
Formation energy: -0.20 eV per atom

```
data_Fe2CoPt
_chemical_formula_sum 'Fe4 Co2 Pt2'
_symmetry_space_group_name_H-M 'C m m m'
_symmetry_Int_Tables_number 65
_symmetry_space_group_name_Hall '-C 2 2'
_cell_length_a 5.173
_cell_length_b 7.230
_cell_length_c 2.609
_cell_angle_alpha 90.00
_cell_angle_beta 90.00
_cell_angle_gamma 90.00
loop_
_atom_site_label
_atom_site_type_symbol
_atom_site_fract_x
_atom_site_fract_y
_atom_site_fract_z
Fe1 Fe 0.250 0.250 0.000
Co1 Co 0.000 0.000 0.500
Pt1 Pt 0.000 0.500 0.500
```


# 10
Compound: KSe2IBr
Source: the Alexandria database
Functional: SCAN
Structure: single point on PBEsol structure

## Properties
ΔE_f (raw): -1.05 eV/f.u.

```
data_KSe2IBr
_chemical_formula_sum 'K1 Se2 I1 Br1'
_symmetry_space_group_name_H-M 'P 4/m m m'
_symmetry_Int_Tables_number 123
_symmetry_space_group_name_Hall '-P 4 2'
_cell_length_a 5.381
_cell_length_b 5.381
_cell_length_c 5.835
_cell_angle_alpha 90.00
_cell_angle_beta 90.00
_cell_angle_gamma 90.00
loop_
_atom_site_label
_atom_site_type_symbol
_atom_site_fract_x
_atom_site_fract_y
_atom_site_fract_z
K1 K 0.000 0.000 0.000
Se1 Se 0.000 0.500 0.500
I1 I 0.500 0.500 0.500
Br1 Br 0.500 0.500 0.000
```


# 11
Compound: InPb2
Source: the Alexandria database
Functional: SCAN
Structure: single point on PBEsol structure

## Properties
Formation energy: 0.04 eV per atom

```
data_InPb2
_chemical_formula_sum 'In4 Pb8'
_symmetry_space_group_name_H-M 'P n m a'
_symmetry_Int_Tables_number 62
_symmetry_space_group_name_Hall '-P 2ac 2n'
_cell_length_a 6.689
_cell_length_b 5.029
_cell_length_c 10.085
_cell_angle_alpha 90.00
_cell_angle_beta 90.00
_cell_angle_gamma 90.00
loop_
_atom_site_label
_atom_site_type_symbol
_atom_site_fract_x
_atom_site_fract_y
_atom_site_fract_z
In1 In 0.123 0.250 0.082
Pb1 Pb 0.124 0.250 0.750
Pb2 Pb 0.131 0.250 0.415
```


# 12
Compound: CaPd3Ru
Source: the Alexandria database
Functional: SCAN
Structure: single point on PBEsol structure

## Properties
Formation energy: 0.48 eV per atom

```
data_CaPd3Ru
_chemical_formula_sum 'Ca1 Pd3 Ru1'
_symmetry_space_group_name_H-M 'P m -3 m'
_symmetry_Int_Tables_number 221
_symmetry_space_group_name_Hall '-P 4 2 3'
_cell_length_a 4.751
_cell_length_b 4.751
_cell_length_c 4.751
_cell_angle_alpha 90.00
_cell_angle_beta 90.00
_cell_angle_gamma 90.00
loop_
_atom_site_label
_atom_site_type_symbol
_atom_site_fract_x
_atom_site_fract_y
_atom_site_fract_z
Ca1 Ca 0.000 0.000 0.000
Pd1 Pd 0.000 0.500 0.500
Ru1 Ru 0.500 0.500 0.500
```


| no. | calculated volume (Å³/f.u.) |
| --- | --- |
| 1 | 35.3 |
| 2 | 42.9 |
| 3 | 86.9 |
| 4 | 46.3 |
| 5 | 106.3 |
| 6 | 53.8 |
| 7 | 104.5 |
| 8 | 182.8 |
| 9 | 48.8 |
| 10 | 169.0 |
| 11 | 84.8 |
| 12 | 107.2 |